DFT (PBE) results for an optimized crystal structure of Ca2HgMo.

Computed properties:
- Total magnetization: 3.5 μB per formula unit
- Formation enthalpy at 0 K: 0.415 eV/atom
- Calculated volume: 25.8 A^3/atom
- SG: P4/mmm, No. 123

Cell and atoms, written as POSCAR:
```
Ca2HgMo
1.0
-4.033 -2.147 2.608
-1.880 -1.948 -4.511
1.992 -3.115 0.515
Hg Ca Mo
1 2 1
Cartesian
-1.021 -2.631 1.562
0.000 0.000 0.000
-2.957 -2.048 -0.951
0.056 -2.532 -1.998
```